(1)
Entry from Alexandria: a relaxed Tb4Nd4Er3 crystal (GGA-PBE).

Cell lengths 11.984, 11.984, 11.984 Å; angles 162.63, 133.66, 49.85 degrees
Positions (direct):
Tb 0.183 0.000 0.183
Tb 0.239 0.239 0.000
Tb 0.761 0.761 0.000
Tb 0.817 0.000 0.817
Nd 0.179 0.856 0.322
Nd 0.466 0.144 0.322
Nd 0.534 0.856 0.678
Nd 0.821 0.144 0.678
Er 0.107 0.607 0.500
Er 0.500 0.500 0.000
Er 0.893 0.393 0.500

**Calculated formation energy**: 0.12 eV/atom


(2)
Entry from Alexandria: a relaxed GeTe4Pt crystal (GGA-PBE).

Cell lengths 4.126, 6.838, 6.864 Å; angles 61.88, 73.15, 72.99 degrees
Positions (direct):
Ge 0.000 0.000 0.000
Te 0.127 0.520 0.218
Te 0.360 0.963 0.321
Te 0.640 0.037 0.679
Te 0.873 0.480 0.782
Pt 0.500 0.500 0.500

**Raw formation energy**: -4.50 kcal/mol of atoms


(3)
Entry from Alexandria: a relaxed Mn3WBr crystal (GGA-PBE).

Cell lengths 4.414, 4.414, 4.414 Å; angles 90.00, 90.00, 90.00 degrees
Positions (direct):
Mn 0.000 0.000 0.500
Mn 0.000 0.500 0.000
Mn 0.500 0.000 0.000
W 0.500 0.500 0.500
Br 0.000 0.000 0.000

**Raw formation energy**: 35.28 kcal/mol of atoms


(4)
Entry from Alexandria: a relaxed SrCr2Os crystal (GGA-PBE).

Cell lengths 3.009, 4.980, 9.704 Å; angles 90.00, 90.00, 90.00 degrees
Positions (direct):
Sr 0.000 0.000 0.000
Sr 0.500 0.500 0.500
Cr 0.000 0.000 0.518
Cr 0.000 0.500 0.786
Cr 0.500 0.000 0.286
Cr 0.500 0.500 0.018
Os 0.000 0.500 0.224
Os 0.500 0.000 0.724

**Calculated formation energy**: 0.90 eV/atom


(5)
Entry from Alexandria: a relaxed Ce3Sb2S2 crystal (GGA-PBE).

Cell lengths 15.265, 4.457, 7.481 Å; angles 90.00, 113.43, 90.00 degrees
Positions (direct):
Ce 0.000 0.000 0.000
Ce 0.219 0.500 0.745
Ce 0.281 0.000 0.255
Ce 0.500 0.500 0.000
Ce 0.719 0.000 0.745
Ce 0.781 0.500 0.255
Sb 0.131 0.500 0.284
Sb 0.369 0.000 0.716
Sb 0.631 0.000 0.284
Sb 0.869 0.500 0.716
S 0.146 0.000 0.858
S 0.354 0.500 0.142
S 0.646 0.500 0.858
S 0.854 0.000 0.142

**Raw formation energy**: -30.34 kcal/mol of atoms


(6)
Entry from Alexandria: a relaxed FePdRh2N crystal (GGA-PBE).

Cell lengths 4.066, 4.066, 3.901 Å; angles 90.00, 90.00, 90.00 degrees
Positions (direct):
Fe 0.000 0.000 0.000
Pd 0.500 0.500 0.000
Rh 0.000 0.500 0.500
Rh 0.500 0.000 0.500
N 0.000 0.000 0.500

**Raw formation energy**: 2.75 kcal/mol of atoms


(7)
Entry from Alexandria: a relaxed Nb2PdAu crystal (GGA-PBE).

Cell lengths 4.018, 4.018, 4.223 Å; angles 90.00, 90.00, 90.00 degrees
Positions (direct):
Nb 0.000 0.500 0.000
Nb 0.500 0.000 0.000
Pd 0.000 0.000 0.500
Au 0.500 0.500 0.500

**Calculated formation energy**: -0.22 eV/atom


(8)
Entry from Alexandria: a relaxed TmMoRu2 crystal (GGA-PBE).

Cell lengths 3.118, 3.118, 6.953 Å; angles 90.00, 90.00, 90.00 degrees
Positions (direct):
Tm 0.000 0.000 0.000
Mo 0.000 0.000 0.500
Ru 0.500 0.500 0.278
Ru 0.500 0.500 0.722

**Calculated formation energy**: -0.12 eV/atom


(9)
Entry from Alexandria: a relaxed BeHPd2Au crystal (GGA-PBE).

Cell lengths 3.917, 3.917, 3.964 Å; angles 90.00, 90.00, 90.00 degrees
Positions (direct):
Be 0.000 0.000 0.000
H 0.000 0.000 0.500
Pd 0.000 0.500 0.500
Pd 0.500 0.000 0.500
Au 0.500 0.500 0.000

**Total energy**: -0.311 Ry/atom


(10)
Entry from Alexandria: a relaxed Tm6NiTe3 crystal (GGA-PBE).

Cell lengths 11.934, 3.875, 12.407 Å; angles 90.00, 105.20, 90.00 degrees
Positions (direct):
Tm 0.012 0.250 0.350
Tm 0.081 0.250 0.888
Tm 0.276 0.750 0.317
Tm 0.284 0.750 0.764
Tm 0.405 0.250 0.561
Tm 0.458 0.750 0.153
Tm 0.542 0.250 0.847
Tm 0.595 0.750 0.439
Tm 0.716 0.250 0.236
Tm 0.724 0.250 0.683
Tm 0.919 0.750 0.112
Tm 0.988 0.750 0.650
Ni 0.452 0.250 0.322
Ni 0.548 0.750 0.678
Te 0.123 0.250 0.146
Te 0.172 0.750 0.516
Te 0.344 0.250 0.962
Te 0.656 0.750 0.038
Te 0.828 0.250 0.484
Te 0.877 0.750 0.854

**Raw formation energy**: -17.16 kcal/mol of atoms


(11)
Entry from Alexandria: a relaxed BaCrWSe2 crystal (GGA-PBE).

Cell lengths 4.955, 4.955, 5.875 Å; angles 90.00, 90.00, 90.00 degrees
Positions (direct):
Ba 0.000 0.000 0.000
Cr 0.000 0.000 0.500
W 0.500 0.500 0.000
Se 0.000 0.500 0.500
Se 0.500 0.000 0.500

**Raw formation energy**: 24.42 kcal/mol of atoms


(12)
Entry from Alexandria: a relaxed Pa2NbSi2 crystal (GGA-PBE).

Cell lengths 6.935, 6.935, 4.239 Å; angles 90.00, 90.00, 90.00 degrees
Positions (direct):
Pa 0.179 0.321 0.000
Pa 0.321 0.821 0.000
Pa 0.679 0.179 0.000
Pa 0.821 0.679 0.000
Nb 0.000 0.000 0.500
Nb 0.500 0.500 0.500
Si 0.124 0.624 0.500
Si 0.376 0.124 0.500
Si 0.624 0.876 0.500
Si 0.876 0.376 0.500

**Raw formation energy**: -12.53 kcal/mol of atoms